Cs2K3O2 after structural relaxation, computed with PBE.

Unit cell a=16.4608 b=3.7457 c=11.3488 alpha=90.00 beta=112.91 gamma=90.00
Closest atoms and distances in Å follow each position.
Space group C2/m (No. 12)
Unique sites:
Cs  0.2274  0.0000  0.2180 [4 per cell]  2 O 2.77
K  0.0000  0.0000  0.0000 [2 per cell]  4 O 2.88
K  0.0528  0.0000  0.3188 [4 per cell]  2 O 2.61
O  0.0985  0.5000  0.1964 [4 per cell]  4 K 2.61-2.88, 2 Cs 2.77

* spin magnetization: 0.0 μB per cell
* total energy: -0.21720 Ry per atom
* ρ: 2.1 g/cm³